Sc2PPdF | PBE | optimized geometry

Results
E_form (uncorrected), eV/atom: -0.92
Raw total energy, eV/atom: -5.949

Unit cell a=4.257 b=4.257 c=4.552 alpha=90.00 beta=90.00 gamma=90.00
Fractional positions:
Sc 0.000 0.500 0.000
Sc 0.500 0.000 0.000
P 0.000 0.000 0.500
Pd 0.500 0.500 0.500
F 0.500 0.500 0.000

TbNd2YTh | PBE | optimized geometry

Results
Raw total energy, eV/atom: -5.329
Calculated formation energy, meV per atom: 280.6

Unit cell a=6.176 b=7.032 c=7.968 alpha=90.00 beta=90.00 gamma=90.00
Fractional positions:
Tb 0.000 0.000 0.000
Tb 0.500 0.000 0.000
Nd 0.250 0.278 0.331
Nd 0.250 0.722 0.331
Nd 0.750 0.278 0.669
Nd 0.750 0.722 0.669
Y 0.250 0.500 0.860
Y 0.750 0.500 0.140
Th 0.250 0.000 0.635
Th 0.750 0.000 0.365

V6GaFe6 | PBE | optimized geometry

Results
Raw total energy, eV/atom: -8.401
Calculated formation energy, meV per atom: -53.8

Unit cell a=4.704 b=4.704 c=8.530 alpha=90.00 beta=90.00 gamma=120.00
Fractional positions:
V 0.000 0.000 0.145
V 0.000 0.000 0.855
V 0.333 0.667 0.000
V 0.333 0.667 0.500
V 0.667 0.333 0.000
V 0.667 0.333 0.500
Ga 0.000 0.000 0.500
Fe 0.000 0.500 0.258
Fe 0.000 0.500 0.742
Fe 0.500 0.000 0.258
Fe 0.500 0.000 0.742
Fe 0.500 0.500 0.258
Fe 0.500 0.500 0.742

Ho6Cd5Pd | PBE | optimized geometry

Results
Raw total energy, eV/atom: -3.509
Calculated formation energy, meV per atom: -406.4

Unit cell a=8.236 b=8.236 c=7.378 alpha=90.00 beta=90.00 gamma=143.14
Fractional positions:
Ho 0.000 0.000 0.237
Ho 0.000 0.000 0.763
Ho 0.341 0.659 0.244
Ho 0.341 0.659 0.756
Ho 0.659 0.341 0.244
Ho 0.659 0.341 0.756
Cd 0.170 0.830 0.500
Cd 0.175 0.825 0.000
Cd 0.500 0.500 0.500
Cd 0.825 0.175 0.000
Cd 0.830 0.170 0.500
Pd 0.500 0.500 0.000

Sm2GePt | PBE | optimized geometry

Results
Raw total energy, eV/atom: -6.042
Calculated formation energy, meV per atom: -1017.5

Unit cell a=5.928 b=4.368 c=8.067 alpha=90.00 beta=110.42 gamma=90.00
Fractional positions:
Sm 0.219 0.250 0.441
Sm 0.226 0.250 0.916
Sm 0.774 0.750 0.084
Sm 0.781 0.750 0.559
Ge 0.327 0.750 0.206
Ge 0.673 0.250 0.794
Pt 0.346 0.750 0.710
Pt 0.654 0.250 0.290

FeTePb | PBE | optimized geometry

Results
Relative energy among the computed polymorphs, eV/atom: 0.0000
E_form (uncorrected), eV/atom: 0.23
Raw total energy, eV/atom: -4.873

Unit cell a=6.982 b=6.982 c=6.982 alpha=152.97 beta=152.97 gamma=38.60
Fractional positions:
Fe 0.000 0.000 0.000
Te 0.597 0.597 0.000
Pb 0.346 0.346 0.000

ScB3W | PBE | optimized geometry

Results
Relative energy among the computed polymorphs, eV/atom: 1.2189
Raw total energy, eV/atom: -7.341
Calculated formation energy, meV per atom: 522.5

Unit cell a=4.127 b=4.127 c=4.127 alpha=90.00 beta=90.00 gamma=90.00
Fractional positions:
Sc 0.000 0.000 0.000
B 0.000 0.500 0.500
B 0.500 0.000 0.500
B 0.500 0.500 0.000
W 0.500 0.500 0.500

Te2As2Br | PBE | optimized geometry

Results
Relative energy among the computed polymorphs, eV/atom: 0.1259
E_form (uncorrected), eV/atom: 0.13
Raw total energy, eV/atom: -3.324

Unit cell a=8.586 b=8.586 c=3.875 alpha=90.00 beta=90.00 gamma=90.00
Fractional positions:
Te 0.143 0.357 0.000
Te 0.357 0.857 0.000
Te 0.643 0.143 0.000
Te 0.857 0.643 0.000
As 0.208 0.708 0.500
As 0.292 0.208 0.500
As 0.708 0.792 0.500
As 0.792 0.292 0.500
Br 0.000 0.000 0.500
Br 0.500 0.500 0.500

Cs2HfAsS4 | PBE | optimized geometry

Results
E_form (uncorrected), eV/atom: -0.94
Raw total energy, eV/atom: -5.038

Unit cell a=14.506 b=13.182 c=7.708 alpha=83.57 beta=64.56 gamma=31.87
Fractional positions:
Cs 0.054 0.054 0.696
Cs 0.304 0.304 0.946
Cs 0.696 0.696 0.054
Cs 0.946 0.946 0.304
Hf 0.125 0.125 0.125
Hf 0.875 0.875 0.875
As 0.375 0.375 0.375
As 0.625 0.625 0.625
S 0.046 0.314 0.379
S 0.239 0.621 0.686
S 0.314 0.046 0.761
S 0.379 0.761 0.046
S 0.621 0.239 0.954
S 0.686 0.954 0.239
S 0.761 0.379 0.314
S 0.954 0.686 0.621

Number 1: size of the total moment 0.00 μB per cell. Number 2: size of the total moment 0.00 μB per cell. Number 3: size of the total moment 4.99 μB per cell. Number 4: size of the total moment 0.00 μB per cell. Number 5: size of the total moment 0.00 μB per cell. Number 6: size of the total moment 1.43 μB per cell. Number 7: size of the total moment 0.00 μB per cell. Number 8: size of the total moment 0.00 μB per cell. Number 9: size of the total moment 2.10 μB per cell.